# 1
Entry from Alexandria: a geometry-optimized LiVN2O structure (GGA+U).

The space group is P4/mmm (No. 123) and the conventional cell measures 3.463, 3.463 and 3.601 Å, with angles of 90.00, 90.00 and 90.00 degrees. The inequivalent atoms are Li at (0.000, 0.000, 0.000), V at (0.500, 0.500, 0.500), N at (0.000, 0.500, 0.000) and O at (0.000, 0.000, 0.500).

# 2
Entry from Alexandria: a geometry-optimized LiWN2O structure (GGA+U).

The space group is P4/mmm (No. 123) and the conventional cell measures 3.655, 3.655 and 3.407 Å, with angles of 90.00, 90.00 and 90.00 degrees. The inequivalent atoms are Li at (0.000, 0.000, 0.000), W at (0.500, 0.500, 0.500), N at (0.000, 0.500, 0.000) and O at (0.000, 0.000, 0.500).

# 3
Entry from Alexandria: a geometry-optimized LiWN2O structure (GGA+U).

The space group is P4/mmm (No. 123) and the conventional cell measures 3.966, 3.966 and 3.948 Å, with angles of 90.00, 90.00 and 90.00 degrees. The inequivalent atoms are Li at (0.000, 0.000, 0.000), W at (0.500, 0.500, 0.500), N at (0.000, 0.500, 0.500) and O at (0.500, 0.500, 0.000).

How do the records compare in calculated density? In the order shown, they have 3.9 8.6 6.3 g/cm³.
How do the records compare in total DFT energy (no corrections)? In the order shown, they have -25.3 -26.0 -33.0 eV for the cell shown.